(P)
First-principles (SCAN) data for a crystal of HOs2N relaxed with PBEsol, as listed in Alexandria via LeMat-Bulk.

Cell lengths 4.0569, 4.0569, 9.9729 Å; angles 90.00, 90.00, 90.00 degrees
Closest atoms and distances in Å follow each position.
Space group I-42d (No. 122)
Symmetry-distinct sites (fractional):
1 H 0.0000 0.0000 0.0000 x4  4 Os 1.87
2 Os 0.2336 0.2500 0.1250 x8  2 H 1.87, 2 N 1.94
3 N 0.0000 0.0000 0.5000 x4  4 Os 1.94

(Q)
First-principles (SCAN) data for a crystal of HOs2N relaxed with PBEsol, as listed in Alexandria via LeMat-Bulk.

Cell lengths 5.3254, 5.3254, 5.3254 Å; angles 90.00, 90.00, 90.00 degrees
Closest atoms and distances in Å follow each position.
Space group Fm-3m (No. 225)
Symmetry-distinct sites (fractional):
1 H 0.0000 0.0000 0.0000 x4  8 Os 2.31
2 Os 0.2500 0.2500 0.2500 x8  4 H 2.31, 4 N 2.31
3 N 0.0000 0.0000 0.5000 x4  8 Os 2.31

Q: Which of them is the most stable? A: (P).

(P)
First-principles (SCAN) data for a crystal of TiHN2 relaxed with PBEsol, as listed in Alexandria via LeMat-Bulk.

Cell lengths 3.8768, 3.8768, 9.7020 Å; angles 90.00, 90.00, 90.00 degrees
Closest atoms and distances in Å follow each position.
Space group I-42d (No. 122)
Symmetry-distinct sites (fractional):
1 Ti 0.0000 0.0000 0.0000 x4  4 N 1.91
2 H 0.0000 0.0000 0.5000 x4  4 N 1.76
3 N 0.2126 0.2500 0.6250 x8  2 H 1.76, 2 Ti 1.91

(Q)
First-principles (SCAN) data for a crystal of TiHN2 relaxed with PBEsol, as listed in Alexandria via LeMat-Bulk.

Cell lengths 4.9172, 4.9172, 4.9172 Å; angles 90.00, 90.00, 90.00 degrees
Closest atoms and distances in Å follow each position.
Space group Fm-3m (No. 225)
Symmetry-distinct sites (fractional):
1 Ti 0.0000 0.0000 0.0000 x4  8 N 2.13
2 H 0.0000 0.0000 0.5000 x4  8 N 2.13
3 N 0.2500 0.2500 0.2500 x8  4 Ti 2.13, 4 H 2.13

Q: Which of them is the most stable? A: (P).